# 1
VASP calculation (PBE) on a relaxed structure of Y2Ho2ErMg.

Output
E_tot in eV/cell: -50.70
Volume in Å³/atom: 36.07
DFT formation energy in eV/atom: 0.482

Geometry as CIF:
```
data_Y2Ho2ErMg
_chemical_formula_sum 'Y4 Ho4 Er2 Mg2'
_cell_length_a 10.315
_cell_length_b 11.624
_cell_length_c 3.610
_cell_angle_alpha 90.00
_cell_angle_beta 90.00
_cell_angle_gamma 90.00
_space_group_name_H-M_alt 'P n n m'
_space_group_IT_number 58
_space_group_name_Hall '-P 2 2n'
loop_
_atom_site_label
_atom_site_fract_x
_atom_site_fract_y
_atom_site_fract_z
Y1 0.249 0.072 0.000
Ho1 0.087 0.276 0.500
Er1 0.000 0.500 0.000
Mg1 0.000 0.000 0.500
```

***

# 2
VASP calculation (PBE) on a relaxed structure of Y2Ho2ErMg5.

Output
E_tot in eV/cell: -67.63
Volume in Å³/atom: 28.12
DFT formation energy in eV/atom: 0.080

Geometry as CIF:
```
data_Y2Ho2ErMg5
_chemical_formula_sum 'Y4 Ho4 Er2 Mg10'
_cell_length_a 10.571
_cell_length_b 10.571
_cell_length_c 5.033
_cell_angle_alpha 90.00
_cell_angle_beta 90.00
_cell_angle_gamma 90.00
_space_group_name_H-M_alt 'P 4/m b m'
_space_group_IT_number 127
_space_group_name_Hall '-P 4 2ab'
loop_
_atom_site_label
_atom_site_fract_x
_atom_site_fract_y
_atom_site_fract_z
Y1 0.178 0.322 0.000
Ho1 0.119 0.619 0.000
Er1 0.000 0.000 0.000
Mg1 0.000 0.500 0.500
Mg2 0.068 0.803 0.500
```

***

# 3
VASP calculation (PBE) on a relaxed structure of YHo2Er4Mg.

Output
E_tot in eV/cell: -35.25
Volume in Å³/atom: 30.06
DFT formation energy in eV/atom: 0.027

Geometry as CIF:
```
data_YHo2Er4Mg
_chemical_formula_sum 'Y1 Ho2 Er4 Mg1'
_cell_length_a 4.927
_cell_length_b 4.927
_cell_length_c 9.907
_cell_angle_alpha 90.00
_cell_angle_beta 90.00
_cell_angle_gamma 90.00
_space_group_name_H-M_alt 'P 4/m m m'
_space_group_IT_number 123
_space_group_name_Hall '-P 4 2'
loop_
_atom_site_label
_atom_site_fract_x
_atom_site_fract_y
_atom_site_fract_z
Y1 0.000 0.000 0.000
Ho1 0.000 0.000 0.500
Ho2 0.500 0.500 0.000
Er1 0.000 0.500 0.252
Mg1 0.500 0.500 0.500
```

***

# 4
VASP calculation (PBE) on a relaxed structure of Y2Ho6Er3Mg.

Output
E_tot in eV/cell: -110.63
Volume in Å³/atom: 30.48
DFT formation energy in eV/atom: 0.030

Geometry as CIF:
```
data_Y2Ho6Er3Mg
_chemical_formula_sum 'Y4 Ho12 Er6 Mg2'
_cell_length_a 6.074
_cell_length_b 10.527
_cell_length_c 11.623
_cell_angle_alpha 90.00
_cell_angle_beta 100.12
_cell_angle_gamma 90.00
_space_group_name_H-M_alt 'C 1 2/m 1'
_space_group_IT_number 12
_space_group_name_Hall '-C 2y'
loop_
_atom_site_label
_atom_site_fract_x
_atom_site_fract_y
_atom_site_fract_z
Y1 0.000 0.166 0.000
Ho1 0.249 0.334 0.250
Ho2 0.250 0.000 0.251
Er1 0.000 0.000 0.500
Er2 0.000 0.334 0.500
Mg1 0.000 0.500 0.000
```

***

# 5
VASP calculation (PBE) on a relaxed structure of Y2HoEr2Mg2.

Output
E_tot in eV/cell: -89.66
Volume in Å³/atom: 28.95
DFT formation energy in eV/atom: -0.009

Geometry as CIF:
```
data_Y2HoEr2Mg2
_chemical_formula_sum 'Y6 Ho3 Er6 Mg6'
_cell_length_a 5.4228
_cell_length_b 5.4228
_cell_length_c 23.8695
_cell_angle_alpha 90.00
_cell_angle_beta 90.00
_cell_angle_gamma 120.00
_space_group_name_H-M_alt 'R -3 m'
_space_group_IT_number 166
_space_group_name_Hall '-R 3 2"'
loop_
_atom_site_label
_atom_site_fract_x
_atom_site_fract_y
_atom_site_fract_z
Y1 0.0000 0.0000 0.1546
Ho1 0.0000 0.0000 0.0000
Er1 0.0000 0.0000 0.4264
Mg1 0.0000 0.0000 0.2892
```

***

# 6
VASP calculation (PBE) on a relaxed structure of HoErMn2.

Output
E_tot in eV/cell: -107.07
Volume in Å³/atom: 21.31
DFT formation energy in eV/atom: 0.178
Energy relative to the lowest polymorph listed for this composition in meV per atom: 0

Geometry as CIF:
```
data_HoErMn2
_chemical_formula_sum 'Ho4 Er4 Mn8'
_cell_length_a 6.986
_cell_length_b 6.986
_cell_length_c 6.986
_cell_angle_alpha 90.00
_cell_angle_beta 90.00
_cell_angle_gamma 90.00
_space_group_name_H-M_alt 'F m -3 m'
_space_group_IT_number 225
_space_group_name_Hall '-F 4 2 3'
loop_
_atom_site_label
_atom_site_fract_x
_atom_site_fract_y
_atom_site_fract_z
Ho1 0.000 0.000 0.000
Er1 0.000 0.000 0.500
Mn1 0.250 0.250 0.250
```

***

# 7
VASP calculation (PBE) on a relaxed structure of HoEr2Mn.

Output
E_tot in eV/cell: -22.00
Volume in Å³/atom: 26.20
DFT formation energy in eV/atom: 0.219
Energy relative to the lowest polymorph listed for this composition in meV per atom: 105

Geometry as CIF:
```
data_HoEr2Mn
_chemical_formula_sum 'Ho1 Er2 Mn1'
_cell_length_a 4.705
_cell_length_b 4.705
_cell_length_c 4.733
_cell_angle_alpha 90.00
_cell_angle_beta 90.00
_cell_angle_gamma 90.00
_space_group_name_H-M_alt 'P 4/m m m'
_space_group_IT_number 123
_space_group_name_Hall '-P 4 2'
loop_
_atom_site_label
_atom_site_fract_x
_atom_site_fract_y
_atom_site_fract_z
Ho1 0.000 0.000 0.000
Er1 0.000 0.500 0.500
Mn1 0.500 0.500 0.000
```

***

# 8
VASP calculation (PBE) on a relaxed structure of HoErMn2.

Output
E_tot in eV/cell: -26.75
Volume in Å³/atom: 21.45
DFT formation energy in eV/atom: 0.183
Energy relative to the lowest polymorph listed for this composition in meV per atom: 5

Geometry as CIF:
```
data_HoErMn2
_chemical_formula_sum 'Ho1 Er1 Mn2'
_cell_length_a 4.901
_cell_length_b 4.901
_cell_length_c 3.572
_cell_angle_alpha 90.00
_cell_angle_beta 90.00
_cell_angle_gamma 90.00
_space_group_name_H-M_alt 'P 4/m m m'
_space_group_IT_number 123
_space_group_name_Hall '-P 4 2'
loop_
_atom_site_label
_atom_site_fract_x
_atom_site_fract_y
_atom_site_fract_z
Ho1 0.000 0.000 0.000
Er1 0.500 0.500 0.000
Mn1 0.000 0.500 0.500
```